1.
{"formula": "Na2CeSnBr8", "functional": "PBE-GGA", "state": "relaxed", "spacegroup": "P2/m", "e_tot_ev_per_atom": -3.51, "total_magnetization_mub_per_cell": 0.22, "lattice_angstrom": [[-5.527, 4.232, 1.354], [1.671, -0.701, 6.549], [5.303, 7.116, -0.592]], "species": ["Br", "Br", "Br", "Br", "Br", "Br", "Br", "Br", "Na", "Na", "Ce", "Sn"], "frac_coords": [[0.677, 0.736, 0.000], [0.157, 0.783, 0.237], [0.157, 0.783, 0.763], [0.675, 0.726, 0.500], [0.325, 0.274, 0.500], [0.323, 0.264, 0.000], [0.843, 0.217, 0.763], [0.843, 0.217, 0.237], [0.500, 0.500, 0.744], [0.500, 0.500, 0.256], [0.000, 0.000, 0.000], [0.000, 0.000, 0.500]]}

2.
{"formula": "Ba2CoNiN", "functional": "PBE-GGA", "state": "relaxed", "spacegroup": "P4/mmm", "e_tot_ev_per_atom": -5.12, "total_magnetization_mub_per_cell": 0.32, "lattice_angstrom": [[-0.456, -5.408, 1.813], [2.985, 1.323, 4.699], [-2.993, 0.813, 1.672]], "species": ["N", "Ba", "Ba", "Ni", "Co"], "frac_coords": [[0.000, 0.000, 0.000], [0.000, 0.500, 0.000], [0.500, 0.000, 0.000], [0.500, 0.500, 0.500], [0.000, 0.000, 0.500]]}

3.
{"formula": "Bi2BW", "functional": "PBE-GGA", "state": "relaxed", "spacegroup": "I-42d", "e_tot_ev_per_atom": -5.33, "ef_ev_per_atom": 1.52, "total_magnetization_mub_per_cell": 5.83, "lattice_angstrom": [[-4.565, -4.144, 1.300], [2.464, -0.918, 5.726], [-4.075, 1.408, 5.446]], "species": ["W", "W", "Bi", "Bi", "Bi", "Bi", "B", "B"], "frac_coords": [[0.750, 0.250, 0.500], [0.000, 0.000, 0.000], [0.571, 0.125, 0.250], [0.179, 0.625, 0.250], [0.875, 0.821, 0.750], [0.375, 0.429, 0.750], [0.500, 0.500, 0.000], [0.250, 0.750, 0.500]]}